#A
This record from Alexandria via LeMat-Bulk describes an optimized crystal structure of LiCaS2N. The functional is PBE.

Output
Its space group is P4/mmm (123). Its total magnetic moment is 2.77 Bohr magnetons per cell.

Cell lengths 4.658, 4.658, 4.055 Å; angles 90.00, 90.00, 90.00 degrees
Site moments in Bohr magnetons follow the coordinates.
Fractional coordinates of all 5 atoms:
S (0.000, 0.500, 0.000)  0.17
S (0.500, 0.000, 0.000)  0.17
N (0.000, 0.000, 0.500)  1.53
Li (0.000, 0.000, 0.000)  0.03
Ca (0.500, 0.500, 0.500)  0.01

---

#B
This record from Alexandria via LeMat-Bulk describes an optimized crystal structure of LiCaS2N. The functional is PBE.

Output
Its space group is P4/mmm (123). Its total magnetic moment is 3.87 Bohr magnetons per cell.

Cell lengths 5.356, 5.356, 4.701 Å; angles 90.00, 90.00, 90.00 degrees
Site moments in Bohr magnetons follow the coordinates.
Fractional coordinates of all 5 atoms:
Ca (0.000, 0.000, 0.000)  0.02
S (0.000, 0.500, 0.000)  0.49
S (0.500, 0.000, 0.000)  0.49
N (0.000, 0.000, 0.500)  1.48
Li (0.500, 0.500, 0.500)  0.00

---

Most stable: #A

---

#A
This record from Alexandria via LeMat-Bulk describes an optimized crystal structure of LiCaSeN2. The functional is PBE.

Output
Its space group is P4/mmm (123). Its total magnetic moment is 0.17 Bohr magnetons per cell.

Cell lengths 4.018, 4.018, 4.538 Å; angles 90.00, 90.00, 90.00 degrees
Site moments in Bohr magnetons follow the coordinates.
Fractional coordinates of all 5 atoms:
Se (0.000, 0.000, 0.500)  0.01
N (0.500, 0.000, 0.000)  0.06
N (0.000, 0.500, 0.000)  0.06
Ca (0.500, 0.500, 0.500)  0.00
Li (0.000, 0.000, 0.000)  0.00

---

#B
This record from Alexandria via LeMat-Bulk describes an optimized crystal structure of LiCaSeN2. The functional is PBE.

Output
Its space group is P4/mmm (123). Its total magnetic moment is 4.97 Bohr magnetons per cell.

Cell lengths 4.646, 4.646, 5.798 Å; angles 90.00, 90.00, 90.00 degrees
Site moments in Bohr magnetons follow the coordinates.
Fractional coordinates of all 5 atoms:
Se (0.000, 0.000, 0.500)  0.39
Ca (0.000, 0.000, 0.000)  0.04
N (0.500, 0.000, 0.000)  1.41
N (0.000, 0.500, 0.000)  1.41
Li (0.500, 0.500, 0.500)  0.00

---

Most stable: #A